Entry 1:
Here is a geometry-optimized Mg6CdGa2 structure from Alexandria via LeMat-Bulk. Energies are from GGA-PBE.

Properties
* calculated formation energy: -0.038 eV/atom
* density: 3.1 Mg/m³
* offset from the most stable computed form: 38.7 meV/atom
* raw total energy: -1.875 eV per atom
* V: 213.9 Å³/cell

abc: 8.0547 8.0547 4.6355
angles: 106.60 106.60 48.49
Atoms (fractional coordinates):
1 Mg 0.0741 0.5857 0.3296
2 Mg 0.2379 0.7621 0.0000
3 Mg 0.4143 0.9259 0.6704
4 Mg 0.5857 0.0741 0.3296
5 Mg 0.7621 0.2379 0.0000
6 Mg 0.9259 0.4143 0.6704
7 Cd 0.5000 0.5000 0.5000
8 Ga 0.1680 0.1680 0.1685
9 Ga 0.8320 0.8320 0.8315



Entry 2:
Here is a geometry-optimized Mg7Cd2Ga2 structure from Alexandria via LeMat-Bulk. Energies are from GGA-PBE.

Properties
* calculated formation energy: -0.080 eV/atom
* density: 3.7 Mg/m³
* offset from the most stable computed form: 5.8 meV/atom
* raw total energy: -1.811 eV per atom
* V: 236.9 Å³/cell

abc: 5.5516 5.5516 8.1144
angles: 99.76 99.76 100.74
Atoms (fractional coordinates):
1 Mg 0.0000 0.0000 0.0000
2 Mg 0.0927 0.4651 0.8208
3 Mg 0.1316 0.1316 0.3890
4 Mg 0.4651 0.0927 0.8208
5 Mg 0.5349 0.9073 0.1792
6 Mg 0.8684 0.8684 0.6110
7 Mg 0.9073 0.5349 0.1792
8 Cd 0.3101 0.6899 0.5000
9 Cd 0.6899 0.3101 0.5000
10 Ga 0.3923 0.3923 0.1680
11 Ga 0.6077 0.6077 0.8320



Entry 3:
Here is a geometry-optimized Mg2Cd4Ga3 structure from Alexandria via LeMat-Bulk. Energies are from GGA-PBE.

Properties
* calculated formation energy: -0.008 eV/atom
* density: 6.1 Mg/m³
* raw total energy: -1.778 eV per atom
* V: 191.2 Å³/cell

abc: 6.2027 6.2027 8.3805
angles: 122.88 122.88 47.45
Atoms (fractional coordinates):
1 Mg 0.0558 0.0558 0.2210
2 Mg 0.9442 0.9442 0.7790
3 Cd 0.1703 0.1703 0.6543
4 Cd 0.2846 0.2846 0.1169
5 Cd 0.7154 0.7154 0.8831
6 Cd 0.8297 0.8297 0.3457
7 Ga 0.3924 0.3924 0.5607
8 Ga 0.5000 0.5000 0.0000
9 Ga 0.6076 0.6076 0.4393



Q: What is the V in the second record?
A: 236.9 Å³/cell